P) DFT (PBE) results for an optimized crystal structure of PtNOF2.

Summary:
- Volume: 10.317 Å³/atom
- Space group: No. 123

Unit cell a=3.5191 b=3.5191 c=4.1655 alpha=90.00 beta=90.00 gamma=90.00
Atoms (fractional coordinates):
Pt 0.0000 0.0000 0.0000
N 0.0000 0.0000 0.5000
O 0.5000 0.5000 0.0000
F 0.0000 0.5000 0.5000
F 0.5000 0.0000 0.5000

---

Q) DFT (PBE) results for an optimized crystal structure of PtNOF2.

Summary:
- Volume: 11.998 Å³/atom
- Space group: No. 123

Unit cell a=3.2858 b=3.2858 c=5.5567 alpha=90.00 beta=90.00 gamma=90.00
Atoms (fractional coordinates):
Pt 0.0000 0.0000 0.0000
N 0.5000 0.5000 0.5000
O 0.5000 0.5000 0.0000
F 0.0000 0.5000 0.5000
F 0.5000 0.0000 0.5000

---

Which structure wins on stability? P) wins.